Below is a relaxed KMnAgF6 crystal, with properties calculated at the PBE+U level.

The structure belongs to space group P312 (No. 149); the cell edges are 5.9346, 5.9346 and 5.1633 Å and the angles 90.00°, 90.00° and 120.00°. The inequivalent atoms are K at (0.0000, 0.0000, 0.0000), Mn at (0.6667, 0.3333, 0.5000), Ag at (0.3333, 0.6667, 0.5000) and F at (0.4107, 0.0723, 0.7031).

The calculation puts the calculated total energy at -42.05 eV/cell. The magnetic moment is 2.9 Bohr magnetons per cell.